# 1
The following is a DFT calculation (PBE) of Zr3PN6 after structural relaxation.

Cell and atoms, written as CIF:
```
data_Zr3PN6
_symmetry_space_group_name_H-M 'C m c 21'
_symmetry_Int_Tables_number 36
_cell_length_a 8.647
_cell_length_b 10.845
_cell_length_c 5.065
_cell_angle_alpha 90.00
_cell_angle_beta 90.00
_cell_angle_gamma 90.00
loop_
_symmetry_equiv_pos_as_xyz
'x,y,z'
'-x,-y,z+1/2'
'-x,y,z'
'x,-y,z+1/2'
'x+1/2,y+1/2,z'
'-x+1/2,-y+1/2,z+1/2'
'-x+1/2,y+1/2,z'
'x+1/2,-y+1/2,z+1/2'
loop_
_atom_site_label
_atom_site_type_symbol
_atom_site_fract_x
_atom_site_fract_y
_atom_site_fract_z
Zr1 Zr 0.000 0.103 0.000
Zr2 Zr 0.188 0.395 0.046
P1 P 0.000 0.304 0.589
N1 N 0.000 0.289 0.267
N2 N 0.000 0.448 0.710
N3 N 0.151 0.241 0.735
N4 N 0.160 0.012 0.282
```

Results
- Volume: 475 Å³ per cell
- Uncorrected formation energy: -1.098 eV/atom
- Uncorrected energy: -9.198 eV per atom
- Crystal system: orthorhombic


# 2
The following is a DFT calculation (PBE) of ZrP3N after structural relaxation.

Cell and atoms, written as CIF:
```
data_ZrP3N
_symmetry_space_group_name_H-M 'P m -3 m'
_symmetry_Int_Tables_number 221
_symmetry_space_group_name_Hall '-P 4 2 3'
_cell_length_a 4.110
_cell_length_b 4.110
_cell_length_c 4.110
_cell_angle_alpha 90.00
_cell_angle_beta 90.00
_cell_angle_gamma 90.00
loop_
_atom_site_label
_atom_site_type_symbol
_atom_site_fract_x
_atom_site_fract_y
_atom_site_fract_z
Zr1 Zr 0.000 0.000 0.000
P1 P 0.000 0.500 0.500
N1 N 0.500 0.500 0.500
```

Results
- Polymorph energy (0 for the lowest one): 0 meV per atom
- Volume: 69 Å³ per cell
- Uncorrected formation energy: 0.205 eV/atom
- Uncorrected energy: -6.416 eV per atom
- Crystal system: cubic


# 3
The following is a DFT calculation (PBE) of ZrPN after structural relaxation.

Cell and atoms, written as CIF:
```
data_ZrPN
_symmetry_space_group_name_H-M 'P 1 m 1'
_symmetry_Int_Tables_number 6
_cell_length_a 4.273
_cell_length_b 3.351
_cell_length_c 6.019
_cell_angle_alpha 90.00
_cell_angle_beta 102.43
_cell_angle_gamma 90.00
loop_
_symmetry_equiv_pos_as_xyz
'x,y,z'
'x,-y,z'
loop_
_atom_site_label
_atom_site_type_symbol
_atom_site_fract_x
_atom_site_fract_y
_atom_site_fract_z
Zr1 Zr 0.000 0.000 0.000
Zr2 Zr 0.395 0.500 0.625
P1 P 0.660 0.500 0.229
P2 P 0.853 0.000 0.490
N1 N 0.275 0.500 0.214
N2 N 0.459 0.000 0.857
```

Results
- Polymorph energy (0 for the lowest one): 230 meV per atom
- Volume: 84 Å³ per cell
- Uncorrected formation energy: -0.837 eV/atom
- Uncorrected energy: -8.264 eV per atom
- Crystal system: monoclinic


# 4
The following is a DFT calculation (PBE) of ZrP2N after structural relaxation.

Cell and atoms, written as CIF:
```
data_ZrP2N
_symmetry_space_group_name_H-M 'I -4 2 d'
_symmetry_Int_Tables_number 122
_symmetry_space_group_name_Hall 'I -4 2bw'
_cell_length_a 5.727
_cell_length_b 5.727
_cell_length_c 7.193
_cell_angle_alpha 90.00
_cell_angle_beta 90.00
_cell_angle_gamma 90.00
loop_
_atom_site_label
_atom_site_type_symbol
_atom_site_fract_x
_atom_site_fract_y
_atom_site_fract_z
Zr1 Zr 0.000 0.000 0.000
P1 P 0.146 0.250 0.625
N1 N 0.000 0.000 0.500
```

Results
- Volume: 236 Å³ per cell
- Uncorrected formation energy: 0.056 eV/atom
- Uncorrected energy: -6.867 eV per atom
- Crystal system: tetragonal


# 5
The following is a DFT calculation (PBE) of ZrPN3 after structural relaxation.

Cell and atoms, written as CIF:
```
data_ZrPN3
_symmetry_space_group_name_H-M 'P m -3 m'
_symmetry_Int_Tables_number 221
_symmetry_space_group_name_Hall '-P 4 2 3'
_cell_length_a 3.539
_cell_length_b 3.539
_cell_length_c 3.539
_cell_angle_alpha 90.00
_cell_angle_beta 90.00
_cell_angle_gamma 90.00
loop_
_atom_site_label
_atom_site_type_symbol
_atom_site_fract_x
_atom_site_fract_y
_atom_site_fract_z
Zr1 Zr 0.000 0.000 0.000
P1 P 0.500 0.500 0.500
N1 N 0.000 0.500 0.500
```

Results
- Volume: 44 Å³ per cell
- Uncorrected formation energy: -0.227 eV/atom
- Uncorrected energy: -8.014 eV per atom
- Crystal system: cubic


# 6
The following is a DFT calculation (PBE) of ZrPN after structural relaxation.

Cell and atoms, written as CIF:
```
data_ZrPN
_symmetry_space_group_name_H-M 'C 1 m 1'
_symmetry_Int_Tables_number 8
_cell_length_a 7.225
_cell_length_b 7.966
_cell_length_c 3.618
_cell_angle_alpha 90.00
_cell_angle_beta 116.05
_cell_angle_gamma 90.00
loop_
_symmetry_equiv_pos_as_xyz
'x,y,z'
'x,-y,z'
'x+1/2,y+1/2,z'
'x+1/2,-y+1/2,z'
loop_
_atom_site_label
_atom_site_type_symbol
_atom_site_fract_x
_atom_site_fract_y
_atom_site_fract_z
Zr1 Zr 0.000 0.209 0.000
P1 P 0.277 0.000 0.535
P2 P 0.284 0.500 0.307
N1 N 0.200 0.174 0.697
```

Results
- Polymorph energy (0 for the lowest one): 170 meV per atom
- Volume: 187 Å³ per cell
- Uncorrected formation energy: -0.896 eV/atom
- Uncorrected energy: -8.324 eV per atom
- Crystal system: monoclinic


- The lowest volume belongs to which entry?
  ZrPN3


- The highest volume belongs to which entry?
  Zr3PN6


- What is the uncorrected formation energy in the first record?
  -1.098 eV/atom


- Among the records above, which one has the highest volume?
  Zr3PN6